[1]
A PBEsol-optimized structure of ScMoAs2. Source: Alexandria via LeMat-Bulk, functional meta-GGA SCAN.

Results
* crystal system: tetragonal
* calculated total energy: -22.7680 eV per atom
* density of states at the Fermi level: 2.5 states/eV per cell
* energy relative to the lowest polymorph listed for this composition: 0 meV per atom
* magnetization: 0.0 Bohr magnetons per cell

Cell: 4.5113 4.5113 3.1879 Å, 90.00 90.00 90.00°
Fractional positions:
Sc (0.0000, 0.0000, 0.0000)
Mo (0.5000, 0.5000, 0.0000)
As (0.0000, 0.5000, 0.5000)
As (0.5000, 0.0000, 0.5000)

***

[2]
A PBEsol-optimized structure of ScMo2As. Source: Alexandria via LeMat-Bulk, functional meta-GGA SCAN.

Results
* crystal system: monoclinic
* calculated total energy: -26.0250 eV per atom
* density of states at the Fermi level: 5.6 states/eV per cell
* magnetization: 0.0 Bohr magnetons per cell

Cell: 5.4657 9.3756 3.0216 Å, 90.00 122.74 90.00°
Fractional positions:
Sc (0.0000, 0.0000, 0.0000)
Sc (0.5000, 0.5000, 0.0000)
Mo (0.2500, 0.2500, 0.5000)
Mo (0.2500, 0.7500, 0.5000)
Mo (0.7500, 0.2500, 0.5000)
Mo (0.7500, 0.7500, 0.5000)
As (0.0000, 0.5000, 0.0000)
As (0.5000, 0.0000, 0.0000)

***

[3]
A PBEsol-optimized structure of ScMo2As. Source: Alexandria via LeMat-Bulk, functional meta-GGA SCAN.

Results
* crystal system: tetragonal
* calculated total energy: -26.1553 eV per atom
* density of states at the Fermi level: 4.2 states/eV per cell
* magnetization: 0.0 Bohr magnetons per cell

Cell: 4.1768 4.1768 7.2349 Å, 90.00 90.00 90.00°
Fractional positions:
Sc (0.0000, 0.0000, 0.0000)
Sc (0.5000, 0.5000, 0.5000)
Mo (0.0000, 0.0000, 0.5000)
Mo (0.0000, 0.5000, 0.7500)
Mo (0.5000, 0.0000, 0.2500)
Mo (0.5000, 0.5000, 0.0000)
As (0.0000, 0.5000, 0.2500)
As (0.5000, 0.0000, 0.7500)

***

[4]
A PBEsol-optimized structure of ScMoAs2. Source: Alexandria via LeMat-Bulk, functional meta-GGA SCAN.

Results
* crystal system: cubic
* calculated total energy: -22.3153 eV per atom
* density of states at the Fermi level: 14.5 states/eV per cell
* energy relative to the lowest polymorph listed for this composition: 453 meV per atom
* magnetization: 4.3 Bohr magnetons per cell

Cell: 6.4344 6.4344 6.4344 Å, 90.00 90.00 90.00°
Fractional positions:
Sc (0.0000, 0.0000, 0.0000)
Sc (0.0000, 0.5000, 0.5000)
Sc (0.5000, 0.0000, 0.5000)
Sc (0.5000, 0.5000, 0.0000)
Mo (0.2500, 0.2500, 0.7500)
Mo (0.2500, 0.7500, 0.2500)
Mo (0.7500, 0.2500, 0.2500)
Mo (0.7500, 0.7500, 0.7500)
As (0.0000, 0.0000, 0.5000)
As (0.0000, 0.5000, 0.0000)
As (0.2500, 0.2500, 0.2500)
As (0.2500, 0.7500, 0.7500)
As (0.5000, 0.0000, 0.0000)
As (0.5000, 0.5000, 0.5000)
As (0.7500, 0.2500, 0.7500)
As (0.7500, 0.7500, 0.2500)

***

[5]
A PBEsol-optimized structure of Sc2MoAs. Source: Alexandria via LeMat-Bulk, functional meta-GGA SCAN.

Results
* crystal system: trigonal
* calculated total energy: -21.0532 eV per atom
* density of states at the Fermi level: 9.4 states/eV per cell
* magnetization: 2.7 Bohr magnetons per cell

Cell: 3.2630 3.2630 25.5887 Å, 90.00 90.00 120.00°
Fractional positions:
Sc (0.0000, 0.0000, 0.0000)
Sc (0.0000, 0.0000, 0.2263)
Sc (0.3333, 0.6667, 0.6667)
Sc (0.3333, 0.6667, 0.8930)
Sc (0.6667, 0.3333, 0.3333)
Sc (0.6667, 0.3333, 0.5596)
Mo (0.0000, 0.0000, 0.7519)
Mo (0.3333, 0.6667, 0.4186)
Mo (0.6667, 0.3333, 0.0853)
As (0.0000, 0.0000, 0.4823)
As (0.3333, 0.6667, 0.1490)
As (0.6667, 0.3333, 0.8156)

***

[6]
A PBEsol-optimized structure of ScMo2As. Source: Alexandria via LeMat-Bulk, functional meta-GGA SCAN.

Results
* crystal system: trigonal
* calculated total energy: -26.0522 eV per atom
* density of states at the Fermi level: 7.9 states/eV per cell
* magnetization: 0.0 Bohr magnetons per cell

Cell: 3.1329 3.1329 24.2708 Å, 90.00 90.00 120.00°
Fractional positions:
Sc (0.0000, 0.0000, 0.0000)
Sc (0.3333, 0.6667, 0.6667)
Sc (0.6667, 0.3333, 0.3333)
Mo (0.0000, 0.0000, 0.5002)
Mo (0.0000, 0.0000, 0.7556)
Mo (0.3333, 0.6667, 0.1669)
Mo (0.3333, 0.6667, 0.4222)
Mo (0.6667, 0.3333, 0.0889)
Mo (0.6667, 0.3333, 0.8336)
As (0.0000, 0.0000, 0.2421)
As (0.3333, 0.6667, 0.9088)
As (0.6667, 0.3333, 0.5755)

***

Number 1: energy of formation from the pure elements -0.3921 eV/atom. Number 2: energy of formation from the pure elements 0.0245 eV/atom. Number 3: energy of formation from the pure elements -0.1058 eV/atom. Number 4: energy of formation from the pure elements 0.0606 eV/atom. Number 5: energy of formation from the pure elements -0.1657 eV/atom. Number 6: energy of formation from the pure elements -0.0027 eV/atom.